Here is a geometry-optimized NaY2Cd structure from Alexandria via LeMat-Bulk. Energies are from PBE-GGA.

Lattice parameters (Å, degrees): 3.7751 3.7751 8.3986 90.00 90.00 90.00
Site moments in Bohr magnetons follow the coordinates.
Element x y z (fractional)
Y 0.0000 0.0000 0.7881  0.11
Y 0.0000 0.0000 0.2119  0.11
Na 0.5000 0.5000 0.5000  0.00
Cd 0.5000 0.5000 0.0000  0.01

Properties
Magnetization ... 0.46 Bohr magnetons per cell
SG ... No. 123
Energy ... -3.78 eV/atom
Energy of formation from the pure elements ... 8 meV/atom
Calculated density ... 4.3 g/cm3

Here is a geometry-optimized Be2GeIr2 structure from Alexandria via LeMat-Bulk. Energies are from PBE-GGA.

Lattice parameters (Å, degrees): 6.5586 6.5586 2.8158 90.00 90.00 90.00
Element x y z (fractional)
Be 0.3810 0.8810 0.0000
Be 0.8810 0.6190 0.0000
Be 0.6190 0.1190 0.0000
Be 0.1190 0.3810 0.0000
Ge 0.0000 0.0000 0.0000
Ge 0.5000 0.5000 0.0000
Ir 0.1733 0.6733 0.5000
Ir 0.6733 0.8267 0.5000
Ir 0.8267 0.3267 0.5000
Ir 0.3267 0.1733 0.5000

Properties
Magnetization ... 0.00 Bohr magnetons per cell
SG ... No. 127
Energy ... -6.18 eV/atom
Energy of formation from the pure elements ... -222 meV/atom
Energy relative to the lowest polymorph listed for this composition ... 110.2 meV/atom
Calculated density ... 13.0 g/cm3